# PBE K4RbNa2Hg2, relaxed
data_K4RbNa2Hg2
_symmetry_space_group_name_H-M 'P 1'
_symmetry_Int_Tables_number 1
_symmetry_space_group_name_Hall 'P 1'
_cell_length_a 7.035
_cell_length_b 8.229
_cell_length_c 8.557
_cell_angle_alpha 106.40
_cell_angle_beta 99.80
_cell_angle_gamma 99.65
loop_
_atom_site_label
_atom_site_type_symbol
_atom_site_fract_x
_atom_site_fract_y
_atom_site_fract_z
_atom_site_occupancy
K1 K 0.059 0.237 0.363 1
K2 K 0.200 0.372 0.912 1
K3 K 0.800 0.628 0.088 1
K4 K 0.941 0.763 0.637 1
Rb1 Rb 0.500 0.000 0.000 1
Na1 Na 0.386 0.774 0.387 1
Na2 Na 0.614 0.226 0.613 1
Hg1 Hg 0.451 0.580 0.670 1
Hg2 Hg 0.549 0.420 0.330 1
# DFT formation energy   -100 meV per atom
# Magnetic moment   0.00 μB per formula unit